[1]
Computed, not measured: crystalline TiAlTcC2 at its relaxed geometry at the PBE level of DFT.

The structure in POSCAR format:
```
TiAlTcC2
1.0
3.955 0.000 0.000
0.000 3.955 0.000
0.000 0.000 4.852
Ti Al Tc C
1 1 1 2
direct
0.000 0.000 0.000
0.500 0.500 0.500
0.000 0.000 0.500
0.000 0.500 0.000
0.500 0.000 0.000
```

## Properties
As for the space-group type: No. 123. The calculation puts the total energy at -6.441 eV per atom. The calculated formation energy is 1.6489 eV per atom.

[2]
Computed, not measured: crystalline TiAlTc2C at its relaxed geometry at the PBE level of DFT.

The structure in POSCAR format:
```
TiAlTc2C
1.0
4.101 0.000 0.000
0.000 4.101 0.000
0.000 0.000 4.063
Ti Al Tc C
1 1 2 1
direct
0.000 0.000 0.000
0.500 0.500 0.000
0.000 0.500 0.500
0.500 0.000 0.500
0.000 0.000 0.500
```

## Properties
As for the space-group type: No. 123. The calculation puts the total energy at -8.582 eV per atom. The calculated formation energy is -0.2634 eV per atom.

[3]
Computed, not measured: crystalline Tm2Al2Tc2C at its relaxed geometry at the PBE level of DFT.

The structure in POSCAR format:
```
Tm2Al2Tc2C
1.0
11.345 0.000 0.000
0.000 3.404 0.000
-2.105 0.000 6.202
Tm Al Tc C
4 4 4 2
direct
0.004 0.000 0.257
0.496 0.500 0.743
0.504 0.500 0.257
0.996 0.000 0.743
0.194 0.500 0.619
0.306 0.000 0.381
0.694 0.000 0.619
0.806 0.500 0.381
0.182 0.500 0.092
0.318 0.000 0.908
0.682 0.000 0.092
0.818 0.500 0.908
0.000 0.500 0.000
0.500 0.000 0.000
```

## Properties
As for the space-group type: No. 12. The calculation puts the total energy at -7.000 eV per atom. The calculated formation energy is -0.3733 eV per atom.

- The lowest calculated formation energy belongs to which entry?
  Tm2Al2Tc2C